[1]
HfCdPt | PBE | relaxed Values from VASP.

Geometry as Quantum ESPRESSO input:
```
&SYSTEM
  ibrav = 0, nat = 3, ntyp = 3
/
ATOMIC_SPECIES
Hf 178.49 Hf.upf
Cd 112.41 Cd.upf
Pt 195.08 Pt.upf
ATOMIC_POSITIONS angstrom
Hf -2.0733 -7.4087 3.1392
Cd -0.6911 -2.4696 1.0464
Pt 0.0000 0.0000 0.0000
CELL_PARAMETERS angstrom
-1.2349 -4.2293 -1.0222
1.4083 -3.4494 2.5642
-2.9378 -2.1996 2.6435
```

Output
Formation energy: -0.47 eV per atom
Uncorrected energy: -6.109 eV per atom
Total magnetization: 0.551 μB/cell

[2]
HfCdPt | PBE | relaxed Values from VASP.

Geometry as Quantum ESPRESSO input:
```
&SYSTEM
  ibrav = 0, nat = 6, ntyp = 3
/
ATOMIC_SPECIES
Hf 178.49 Hf.upf
Pt 195.08 Pt.upf
Cd 112.41 Cd.upf
ATOMIC_POSITIONS angstrom
Hf 0.0000 1.7761 7.4006
Pt 1.7761 0.0000 8.4961
Hf 1.7761 0.0000 1.9478
Pt 0.0000 1.7761 0.8524
Cd 1.7761 0.0000 5.4474
Cd 0.0000 1.7761 3.9010
CELL_PARAMETERS angstrom
3.5521 0.0000 0.0000
0.0000 3.5521 0.0000
0.0000 0.0000 9.3484
```

Output
Formation energy: -0.60 eV per atom
Uncorrected energy: -6.236 eV per atom
Total magnetization: 0.019 μB/cell

[3]
HfCdPt2 | PBE | relaxed Values from VASP.

Geometry as Quantum ESPRESSO input:
```
&SYSTEM
  ibrav = 0, nat = 4, ntyp = 3
/
ATOMIC_SPECIES
Cd 112.41 Cd.upf
Hf 178.49 Hf.upf
Pt 195.08 Pt.upf
ATOMIC_POSITIONS angstrom
Cd 3.2852 3.2852 3.2852
Hf 1.6426 1.6426 1.6426
Pt 4.9278 4.9278 4.9278
Pt 0.0000 0.0000 0.0000
CELL_PARAMETERS angstrom
0.0000 3.2852 3.2852
3.2852 0.0000 3.2852
3.2852 3.2852 0.0000
```

Output
Formation energy: -0.48 eV per atom
Uncorrected energy: -6.218 eV per atom
Total magnetization: 0.001 μB/cell

[4]
Hf2CdPt3 | PBE | relaxed Values from VASP.

Geometry as Quantum ESPRESSO input:
```
&SYSTEM
  ibrav = 0, nat = 6, ntyp = 3
/
ATOMIC_SPECIES
Pt 195.08 Pt.upf
Cd 112.41 Cd.upf
Hf 178.49 Hf.upf
ATOMIC_POSITIONS angstrom
Pt -0.8504 3.4310 5.2922
Cd -2.9123 5.1286 4.2592
Hf -1.7220 3.0324 2.5184
Pt -0.5453 0.9603 0.7975
Pt 0.2858 1.4301 3.6305
Hf 1.4011 -0.5340 1.9993
CELL_PARAMETERS angstrom
-0.2276 -2.3190 2.6367
3.2165 0.9223 1.0888
-3.5306 6.2174 5.1635
```

Output
Formation energy: -0.92 eV per atom
Uncorrected energy: -7.412 eV per atom
Total magnetization: 0.007 μB/cell

[5]
HfCd2Re | PBE | relaxed Values from VASP.

Geometry as Quantum ESPRESSO input:
```
&SYSTEM
  ibrav = 0, nat = 4, ntyp = 3
/
ATOMIC_SPECIES
Cd 112.41 Cd.upf
Hf 178.49 Hf.upf
Re 186.21 Re.upf
ATOMIC_POSITIONS angstrom
Cd 4.2172 0.4144 7.6033
Cd 0.0000 0.0000 0.0000
Hf 2.8115 0.2763 5.0689
Re 1.4057 0.1381 2.5344
CELL_PARAMETERS angstrom
3.9637 1.4529 2.1512
-0.1808 1.6456 4.4395
1.8400 -2.5460 3.5471
```

Output
Formation energy: 0.36 eV per atom
Uncorrected energy: -5.686 eV per atom
Total magnetization: 0.003 μB/cell

[6]
HfCdRe | PBE | relaxed Values from VASP.

Geometry as Quantum ESPRESSO input:
```
&SYSTEM
  ibrav = 0, nat = 3, ntyp = 3
/
ATOMIC_SPECIES
Cd 112.41 Cd.upf
Re 186.21 Re.upf
Hf 178.49 Hf.upf
ATOMIC_POSITIONS angstrom
Cd 1.6065 1.6065 1.6065
Re 0.0000 0.0000 0.0000
Hf 4.8195 4.8195 4.8195
CELL_PARAMETERS angstrom
0.0000 3.2130 3.2130
3.2130 0.0000 3.2130
3.2130 3.2130 0.0000
```

Output
Formation energy: 0.73 eV per atom
Uncorrected energy: -7.026 eV per atom
Total magnetization: 0.786 μB/cell

- Which of these has the highest total magnetization?
  HfCdRe

- The highest total magnetization belongs to which entry?
  HfCdRe